No. 1
Crystalline Sm2SnGe3Ir4 at its relaxed geometry, computed with PBE-GGA.

## Properties
- Energy of formation from the pure elements: -704 meV per atom
- SG: P-4m2
- VASP energy: -6.978 eV per atom

Cell lengths 4.276, 4.276, 10.498 Å; angles 90.00, 90.00, 90.00 degrees
Element x y z (fractional)
Sm 0.000 0.500 0.244
Sm 0.500 0.000 0.756
Sn 0.000 0.000 0.500
Ge 0.000 0.500 0.873
Ge 0.500 0.000 0.127
Ge 0.500 0.500 0.500
Ir 0.000 0.000 0.000
Ir 0.000 0.500 0.642
Ir 0.500 0.000 0.358
Ir 0.500 0.500 0.000



No. 2
Crystalline Sm2TaGe3Ir4 at its relaxed geometry, computed with PBE-GGA.

## Properties
- Energy of formation from the pure elements: -755 meV per atom
- SG: P-4m2
- VASP energy: -7.814 eV per atom

Cell lengths 4.190, 4.190, 10.727 Å; angles 90.00, 90.00, 90.00 degrees
Element x y z (fractional)
Sm 0.000 0.500 0.238
Sm 0.500 0.000 0.762
Ta 0.000 0.000 0.500
Ge 0.000 0.500 0.871
Ge 0.500 0.000 0.129
Ge 0.500 0.500 0.500
Ir 0.000 0.000 0.000
Ir 0.000 0.500 0.640
Ir 0.500 0.000 0.360
Ir 0.500 0.500 0.000



No. 3
Crystalline TbSmGeIr at its relaxed geometry, computed with PBE-GGA.

## Properties
- Energy of formation from the pure elements: -824 meV per atom
- Offset from the most stable computed form: 0.000 eV/atom
- SG: Amm2
- VASP energy: -6.531 eV per atom

Cell lengths 4.129, 4.169, 10.772 Å; angles 90.00, 90.00, 90.00 degrees
Element x y z (fractional)
Tb 0.000 0.000 0.000
Tb 0.000 0.500 0.500
Sm 0.500 0.000 0.719
Sm 0.500 0.500 0.219
Ge 0.000 0.000 0.292
Ge 0.000 0.500 0.792
Ir 0.500 0.000 0.443
Ir 0.500 0.500 0.943



No. 4
Crystalline TbSmGeIr at its relaxed geometry, computed with PBE-GGA.

## Properties
- Energy of formation from the pure elements: -634 meV per atom
- Offset from the most stable computed form: 0.190 eV/atom
- SG: F-43m
- VASP energy: -6.341 eV per atom

Cell lengths 7.107, 7.107, 7.107 Å; angles 90.00, 90.00, 90.00 degrees
Element x y z (fractional)
Tb 0.000 0.000 0.000
Tb 0.000 0.500 0.500
Tb 0.500 0.000 0.500
Tb 0.500 0.500 0.000
Sm 0.000 0.000 0.500
Sm 0.000 0.500 0.000
Sm 0.500 0.000 0.000
Sm 0.500 0.500 0.500
Ge 0.250 0.250 0.750
Ge 0.250 0.750 0.250
Ge 0.750 0.250 0.250
Ge 0.750 0.750 0.750
Ir 0.250 0.250 0.250
Ir 0.250 0.750 0.750
Ir 0.750 0.250 0.750
Ir 0.750 0.750 0.250



No. 5
Crystalline SmTcGe2Ir at its relaxed geometry, computed with PBE-GGA.

## Properties
- Energy of formation from the pure elements: -628 meV per atom
- SG: I-4m2
- VASP energy: -7.264 eV per atom

Cell lengths 4.298, 4.298, 10.073 Å; angles 90.00, 90.00, 90.00 degrees
Element x y z (fractional)
Sm 0.000 0.000 0.000
Sm 0.500 0.500 0.500
Tc 0.000 0.500 0.250
Tc 0.500 0.000 0.750
Ge 0.000 0.000 0.371
Ge 0.000 0.000 0.629
Ge 0.500 0.500 0.129
Ge 0.500 0.500 0.871
Ir 0.000 0.500 0.750
Ir 0.500 0.000 0.250



No. 6
Crystalline SmTh2Ge3Ir4 at its relaxed geometry, computed with PBE-GGA.

## Properties
- Energy of formation from the pure elements: -779 meV per atom
- SG: P-4m2
- VASP energy: -7.664 eV per atom

Cell lengths 4.176, 4.176, 11.619 Å; angles 90.00, 90.00, 90.00 degrees
Element x y z (fractional)
Sm 0.000 0.000 0.000
Th 0.000 0.500 0.728
Th 0.500 0.000 0.272
Ge 0.000 0.500 0.381
Ge 0.500 0.000 0.619
Ge 0.500 0.500 0.000
Ir 0.000 0.000 0.500
Ir 0.000 0.500 0.171
Ir 0.500 0.000 0.829
Ir 0.500 0.500 0.500



No. 7
Crystalline Sm2VGe3Ir4 at its relaxed geometry, computed with PBE-GGA.

## Properties
- Energy of formation from the pure elements: -736 meV per atom
- SG: P-4m2
- VASP energy: -7.521 eV per atom

Cell lengths 4.176, 4.176, 10.470 Å; angles 90.00, 90.00, 90.00 degrees
Element x y z (fractional)
Sm 0.000 0.500 0.249
Sm 0.500 0.000 0.751
V 0.000 0.000 0.500
Ge 0.000 0.500 0.869
Ge 0.500 0.000 0.131
Ge 0.500 0.500 0.500
Ir 0.000 0.000 0.000
Ir 0.000 0.500 0.633
Ir 0.500 0.000 0.367
Ir 0.500 0.500 0.000



No. 8
Crystalline SmYGeIr at its relaxed geometry, computed with PBE-GGA.

## Properties
- Energy of formation from the pure elements: -641 meV per atom
- Offset from the most stable computed form: 0.181 eV/atom
- SG: F-43m
- VASP energy: -6.807 eV per atom

Cell lengths 7.100, 7.100, 7.100 Å; angles 90.00, 90.00, 90.00 degrees
Element x y z (fractional)
Sm 0.000 0.000 0.000
Sm 0.000 0.500 0.500
Sm 0.500 0.000 0.500
Sm 0.500 0.500 0.000
Y 0.000 0.000 0.500
Y 0.000 0.500 0.000
Y 0.500 0.000 0.000
Y 0.500 0.500 0.500
Ge 0.250 0.250 0.750
Ge 0.250 0.750 0.250
Ge 0.750 0.250 0.250
Ge 0.750 0.750 0.750
Ir 0.250 0.250 0.250
Ir 0.250 0.750 0.750
Ir 0.750 0.250 0.750
Ir 0.750 0.750 0.250



No. 9
Crystalline SmYGeIr at its relaxed geometry, computed with PBE-GGA.

## Properties
- Energy of formation from the pure elements: -822 meV per atom
- Offset from the most stable computed form: 0.000 eV/atom
- SG: Amm2
- VASP energy: -6.987 eV per atom

Cell lengths 4.140, 4.170, 10.728 Å; angles 90.00, 90.00, 90.00 degrees
Element x y z (fractional)
Sm 0.000 0.000 0.000
Sm 0.000 0.500 0.500
Y 0.500 0.000 0.281
Y 0.500 0.500 0.781
Ge 0.500 0.000 0.573
Ge 0.500 0.500 0.073
Ir 0.000 0.000 0.723
Ir 0.000 0.500 0.223



No. 10
Crystalline SmZnGe2Ir at its relaxed geometry, computed with PBE-GGA.

## Properties
- Energy of formation from the pure elements: -570 meV per atom
- SG: I-4m2
- VASP energy: -5.387 eV per atom

Cell lengths 4.108, 4.108, 10.901 Å; angles 90.00, 90.00, 90.00 degrees
Element x y z (fractional)
Sm 0.000 0.000 0.000
Sm 0.500 0.500 0.500
Zn 0.000 0.500 0.750
Zn 0.500 0.000 0.250
Ge 0.000 0.000 0.385
Ge 0.000 0.000 0.615
Ge 0.500 0.500 0.115
Ge 0.500 0.500 0.885
Ir 0.000 0.500 0.250
Ir 0.500 0.000 0.750



No. 11
Crystalline Sm2ZrGe3Ir4 at its relaxed geometry, computed with PBE-GGA.

## Properties
- Energy of formation from the pure elements: -819 meV per atom
- SG: P-4m2
- VASP energy: -7.547 eV per atom

Cell lengths 4.172, 4.172, 11.032 Å; angles 90.00, 90.00, 90.00 degrees
Element x y z (fractional)
Sm 0.000 0.500 0.232
Sm 0.500 0.000 0.768
Zr 0.000 0.000 0.500
Ge 0.000 0.500 0.874
Ge 0.500 0.000 0.126
Ge 0.500 0.500 0.500
Ir 0.000 0.000 0.000
Ir 0.000 0.500 0.651
Ir 0.500 0.000 0.349
Ir 0.500 0.500 0.000



No. 12
Crystalline Sn5GeIr3 at its relaxed geometry, computed with PBE-GGA.

## Properties
- Energy of formation from the pure elements: -186 meV per atom
- Offset from the most stable computed form: 0.012 eV/atom
- SG: C2/m
- VASP energy: -5.876 eV per atom

Cell lengths 7.320, 7.320, 9.480 Å; angles 110.69, 110.69, 75.77 degrees
Element x y z (fractional)
Sn 0.055 0.055 0.364
Sn 0.119 0.534 0.340
Sn 0.209 0.791 0.000
Sn 0.266 0.266 0.980
Sn 0.466 0.881 0.660
Sn 0.534 0.119 0.340
Sn 0.734 0.734 0.020
Sn 0.791 0.209 0.000
Sn 0.881 0.466 0.660
Sn 0.945 0.945 0.636
Ge 0.413 0.413 0.698
Ge 0.587 0.587 0.302
Ir 0.161 0.161 0.170
Ir 0.191 0.191 0.675
Ir 0.500 0.500 0.000
Ir 0.500 0.500 0.500
Ir 0.809 0.809 0.325
Ir 0.839 0.839 0.830